A plane-wave DFT calculation with PBE was carried out for an optimized crystal structure of Dy4Mg2Sc.

The space group is R-3m (No. 166, hexagonal axes) and the conventional cell measures 5.4402, 5.4402 and 25.8201 Å, with angles of 90.00, 90.00 and 120.00 degrees. The inequivalent atoms are Dy at (0.0000, 0.0000, 0.1309), Dy at (0.0000, 0.0000, 0.2570), Mg at (0.0000, 0.0000, 0.3802) and Sc at (0.0000, 0.0000, 0.5000).

As for the density of states at the Fermi level: 1.37 states/eV per atom. The value obtained for the energy relative to the elements is 27 kJ per mole of atoms. The value obtained for the calculated density is 5.6 g/cm3. Its total moment is 0.0 μB per formula unit.